Entry i
Here is an optimized crystal structure of BeNbMoAs from OQMD via LeMat-Bulk. Energies are from PBE.

abc: 4.3653 4.3653 4.3653
angles: 60.00 60.00 60.00
Closest atoms and distances in Å follow each position.
Positions (direct):
Nb 0.5000 0.5000 0.5000  4 Be 2.67, 4 Mo 2.67
As 0.0000 0.0000 0.0000  4 Mo 2.67, 4 Be 2.67
Mo 0.2500 0.2500 0.2500  4 As 2.67, 4 Nb 2.67
Be 0.7500 0.7500 0.7500  4 Nb 2.67, 4 As 2.67

Computed properties:
The symmetry is F-43m, No. 216. The total magnetization is 0.01 μB/cell.

---

Entry ii
Here is an optimized crystal structure of BeNbMoAs from OQMD via LeMat-Bulk. Energies are from PBE.

abc: 4.3404 4.3404 4.3404
angles: 60.00 60.00 60.00
Closest atoms and distances in Å follow each position.
Positions (direct):
Nb 0.5000 0.5000 0.5000  4 Be 2.66, 4 As 2.66
As 0.2500 0.2500 0.2500  4 Nb 2.66, 4 Mo 2.66
Be 0.7500 0.7500 0.7500  4 Nb 2.66, 4 Mo 2.66
Mo 0.0000 0.0000 0.0000  4 As 2.66, 4 Be 2.66

Computed properties:
The symmetry is F-43m, No. 216. The total magnetization is 0.00 μB/cell.

---

Which is the most stable structure? entry ii is the most stable.

---

Entry i
Here is an optimized crystal structure of DyCuSnTe3 from OQMD via LeMat-Bulk. Energies are from PBE.

abc: 11.1796 4.2641 14.4632
angles: 90.00 90.00 90.00
Closest atoms and distances in Å follow each position.
Positions (direct):
Te 0.2672 0.2500 0.6633  2 Cu 2.69
Te 0.5463 0.2500 0.1104  1 Cu 2.72
Te 0.0888 0.7500 0.9011  1 Cu 2.62
Te 0.5888 0.7500 0.5989  1 Cu 2.62
Te 0.4112 0.2500 0.4011  1 Cu 2.62
Te 0.7672 0.2500 0.8367  2 Cu 2.69
Te 0.4537 0.7500 0.8896  1 Cu 2.72
Te 0.7328 0.7500 0.3367  2 Cu 2.69
Te 0.0463 0.2500 0.3896  1 Cu 2.72
Te 0.9112 0.2500 0.0989  1 Cu 2.62
Te 0.2328 0.7500 0.1633  2 Cu 2.69
Te 0.9537 0.7500 0.6104  1 Cu 2.72
Dy 0.0230 0.2500 0.7585  6 Te 3.06-3.12, 2 Cu 3.41
Dy 0.4770 0.7500 0.2585  6 Te 3.06-3.12, 2 Cu 3.41
Dy 0.5230 0.2500 0.7415  6 Te 3.06-3.12, 2 Cu 3.41
Dy 0.9770 0.7500 0.2415  6 Te 3.06-3.12, 2 Cu 3.41
Sn 0.2151 0.7500 0.4914  7 Te 3.21-3.39
Sn 0.2849 0.2500 0.9914  7 Te 3.21-3.39
Sn 0.7849 0.2500 0.5086  7 Te 3.21-3.39
Sn 0.7151 0.7500 0.0086  7 Te 3.21-3.39
Cu 0.7406 0.2500 0.2232  4 Te 2.62-2.72
Cu 0.2406 0.2500 0.2768  4 Te 2.62-2.72
Cu 0.2594 0.7500 0.7768  4 Te 2.62-2.72
Cu 0.7594 0.7500 0.7232  4 Te 2.62-2.72

Computed properties:
The symmetry is Pnma, No. 62. The total magnetization is 0.01 μB/cell.

---

Entry ii
Here is an optimized crystal structure of DyCuSnTe3 from OQMD via LeMat-Bulk. Energies are from PBE.

abc: 8.3107 4.2532 10.5022
angles: 90.00 105.55 90.00
Closest atoms and distances in Å follow each position.
Positions (direct):
Te 0.9210 0.7500 0.1399  3 Dy 3.08-3.13, 2 Sn 3.26
Te 0.4586 0.7500 0.1704  1 Cu 2.67
Te 0.2422 0.2500 0.4645  3 Cu 2.72-2.74, 1 Dy 3.03
Te 0.0790 0.2500 0.8601  3 Dy 3.08-3.13, 2 Sn 3.26
Te 0.5414 0.2500 0.8296  1 Cu 2.67
Te 0.7578 0.7500 0.5355  3 Cu 2.72-2.74, 1 Dy 3.03
Cu 0.4243 0.7500 0.4157  4 Te 2.67-2.74, 2 Cu 2.84
Cu 0.5757 0.2500 0.5843  4 Te 2.67-2.74, 2 Cu 2.84
Dy 0.8028 0.7500 0.8312  6 Te 3.03-3.13
Dy 0.1972 0.2500 0.1688  6 Te 3.03-3.13
Sn 0.7520 0.2500 0.3006  6 Te 3.25-3.26
Sn 0.2480 0.7500 0.6994  6 Te 3.25-3.26

Computed properties:
The symmetry is P2_1/m, No. 11. The total magnetization is 0.01 μB/cell.

---

Which is the most stable structure? entry i is the most stable.

---

Entry i
Here is an optimized crystal structure of SmHgB from OQMD via LeMat-Bulk. Energies are from PBE.

abc: 4.4086 4.4086 4.4086
angles: 60.00 60.00 60.00
Closest atoms and distances in Å follow each position.
Positions (direct):
Sm 0.7500 0.7500 0.7500  4 B 2.70
B 0.0000 0.0000 0.0000  4 Sm 2.70, 4 Hg 2.70
Hg 0.2500 0.2500 0.2500  4 B 2.70

Computed properties:
The symmetry is F-43m, No. 216. The total magnetization is 0.00 μB/cell.

---

Entry ii
Here is an optimized crystal structure of SmHgB from OQMD via LeMat-Bulk. Energies are from PBE.

abc: 4.7060 4.7060 4.7060
angles: 60.00 60.00 60.00
Closest atoms and distances in Å follow each position.
Positions (direct):
B 0.2500 0.2500 0.2500  4 Sm 2.88
Hg 0.7500 0.7500 0.7500  4 Sm 2.88
Sm 0.0000 0.0000 0.0000  4 Hg 2.88, 4 B 2.88

Computed properties:
The symmetry is F-43m, No. 216. The total magnetization is 0.00 μB/cell.

---

Which is the most stable structure? entry i is the most stable.

---

Entry i
Here is an optimized crystal structure of Tb2Ge2O5 from OQMD via LeMat-Bulk. Energies are from PBE.

abc: 9.4314 3.6310 3.6310
angles: 90.00 90.00 90.00
Closest atoms and distances in Å follow each position.
Positions (direct):
Tb 0.7448 0.5000 0.5000  5 O 2.18-2.31
Tb 0.2552 0.5000 0.5000  5 O 2.18-2.31
O 0.1266 0.0000 0.5000  2 Ge 2.17, 2 Tb 2.18, 1 O 2.39
O 0.8734 0.0000 0.5000  2 Ge 2.17, 2 Tb 2.18, 1 O 2.39
O 0.8734 0.5000 0.0000  2 Ge 2.17, 2 Tb 2.18, 1 O 2.39
O 0.1266 0.5000 0.0000  2 Ge 2.17, 2 Tb 2.18, 1 O 2.39
O 0.5000 0.5000 0.5000  2 Tb 2.31, 4 Ge 2.57
Ge 0.0000 0.0000 0.0000  8 O 2.17
Ge 0.5000 0.0000 0.0000  4 O 2.57

Computed properties:
The symmetry is P4/mmm, No. 123. The total magnetization is 0.00 μB/cell.

---

Entry ii
Here is an optimized crystal structure of Tb2Ge2O5 from OQMD via LeMat-Bulk. Energies are from PBE.

abc: 6.6230 4.0652 4.0652
angles: 90.00 90.00 90.00
Closest atoms and distances in Å follow each position.
Positions (direct):
O 0.5000 0.5000 0.5000  2 Ge 1.89
O 0.7655 0.5000 0.0000  2 Ge 2.04
O 0.7655 0.0000 0.5000  2 Ge 2.04
O 0.2345 0.5000 0.0000  2 Ge 2.04
O 0.2345 0.0000 0.5000  2 Ge 2.04
Ge 0.7851 0.5000 0.5000  5 O 1.89-2.04
Ge 0.2149 0.5000 0.5000  5 O 1.89-2.04
Tb 0.5000 0.0000 0.0000  12 O 2.69-2.87
Tb 0.0000 0.0000 0.0000  8 O 2.56

Computed properties:
The symmetry is P4/mmm, No. 123. The total magnetization is 0.01 μB/cell.

---

Which is the most stable structure? entry ii is the most stable.

---

Entry i
Here is an optimized crystal structure of LiTbAsO from OQMD via LeMat-Bulk. Energies are from PBE.

abc: 3.7989 3.7989 9.8064
angles: 90.00 90.00 90.00
Closest atoms and distances in Å follow each position.
Positions (direct):
Li 0.5000 0.5000 0.5000  4 As 2.64, 4 Li 2.69
Li 0.0000 0.0000 0.5000  4 As 2.64, 4 Li 2.69
Tb 0.0000 0.5000 0.8810  4 O 2.23
Tb 0.5000 0.0000 0.1190  4 O 2.23
As 0.5000 0.0000 0.6864  4 Li 2.64
As 0.0000 0.5000 0.3136  4 Li 2.64
O 0.0000 0.0000 0.0000  4 Tb 2.23
O 0.5000 0.5000 0.0000  4 Tb 2.23

Computed properties:
The symmetry is P4/nmm, No. 129. The total magnetization is 0.00 μB/cell.

---

Entry ii
Here is an optimized crystal structure of LiTbAsO from OQMD via LeMat-Bulk. Energies are from PBE.

abc: 3.5128 7.6001 5.8693
angles: 90.00 90.00 90.00
Closest atoms and distances in Å follow each position.
Positions (direct):
Tb 0.0000 0.7997 0.9102  2 O 2.13
Tb 0.0000 0.2003 0.4102  2 O 2.13
O 0.5000 0.6429 0.8795  2 Li 1.91-1.97, 2 Tb 2.13
O 0.5000 0.3571 0.3795  2 Li 1.91-1.97, 2 Tb 2.13
Li 0.5000 0.5668 0.5584  2 O 1.91-1.97
Li 0.5000 0.4332 0.0584  2 O 1.91-1.97
As 0.0000 0.1824 0.9059  2 Li 2.74, 3 Tb 2.91-2.96
As 0.0000 0.8176 0.4059  2 Li 2.74, 3 Tb 2.91-2.96

Computed properties:
The symmetry is Pmc2_1, No. 26. The total magnetization is 0.00 μB/cell.

---

Which is the most stable structure? entry i is the most stable.

---

Entry i
Here is an optimized crystal structure of CdBiAsO from OQMD via LeMat-Bulk. Energies are from PBE.

abc: 4.7047 4.7047 8.8127
angles: 90.00 90.00 90.00
Closest atoms and distances in Å follow each position.
Positions (direct):
Cd 0.5000 0.0000 0.0236  4 O 2.36
Cd 0.0000 0.5000 0.9764  4 O 2.36
O 0.0000 0.0000 0.0000  4 Cd 2.36
O 0.5000 0.5000 0.0000  4 Cd 2.36
Bi 0.0000 0.0000 0.5000  4 As 2.90
Bi 0.5000 0.5000 0.5000  4 As 2.90
As 0.0000 0.5000 0.3072  4 Bi 2.90, 1 Cd 2.91
As 0.5000 0.0000 0.6928  4 Bi 2.90, 1 Cd 2.91

Computed properties:
The symmetry is P4/nmm, No. 129.

---

Entry ii
Here is an optimized crystal structure of CdBiAsO from OQMD via LeMat-Bulk. Energies are from PBE.

abc: 6.4915 6.4959 8.4439
angles: 90.00 90.00 90.00
Closest atoms and distances in Å follow each position.
Positions (direct):
Cd 0.4660 0.2371 0.1635  2 O 2.30-2.33
Cd 0.9660 0.2629 0.8365  2 O 2.30-2.33
Cd 0.5340 0.7371 0.3365  2 O 2.30-2.33
Cd 0.0340 0.7629 0.6635  2 O 2.30-2.33
As 0.2559 0.0011 0.4744  2 Cd 2.65-2.75, 2 Bi 2.81-2.85
As 0.7441 0.5011 0.0256  2 Cd 2.65-2.75, 2 Bi 2.81-2.85
As 0.7559 0.4989 0.5256  2 Cd 2.65-2.75, 2 Bi 2.81-2.85
As 0.2441 0.9989 0.9744  2 Cd 2.65-2.75, 2 Bi 2.81-2.85
O 0.2232 0.4839 0.7478  1 Bi 2.18, 2 Cd 2.30-2.33
O 0.7232 0.0161 0.2522  1 Bi 2.18, 2 Cd 2.30-2.33
O 0.2768 0.5161 0.2478  1 Bi 2.18, 2 Cd 2.30-2.33
O 0.7768 0.9839 0.7522  1 Bi 2.18, 2 Cd 2.30-2.33
Bi 0.0393 0.7426 0.1919  1 O 2.18
Bi 0.9607 0.2426 0.3081  1 O 2.18
Bi 0.5393 0.7574 0.8081  1 O 2.18
Bi 0.4607 0.2574 0.6919  1 O 2.18

Computed properties:
The symmetry is P2_12_12_1, No. 19.

---

Which is the most stable structure? entry ii is the most stable.

---

Entry i
Here is an optimized crystal structure of ZnMo from OQMD via LeMat-Bulk. Energies are from PBE.

abc: 4.3867 6.2517 4.3700
angles: 90.00 90.00 90.00
Closest atoms and distances in Å follow each position.
Positions (direct):
Zn 0.4082 0.5000 0.5000  4 Zn 2.65, 4 Mo 2.71-2.72
Zn 0.4228 0.2600 0.0000  4 Zn 2.65-2.67, 4 Mo 2.72-2.74
Zn 0.9253 0.5000 0.0000  4 Zn 2.65-2.67, 4 Mo 2.71
Zn 0.4228 0.7400 0.0000  4 Zn 2.65-2.67, 4 Mo 2.72-2.74
Mo 0.4153 0.0000 0.5000  4 Mo 2.65-2.69, 4 Zn 2.72
Mo 0.9196 0.0000 0.0000  4 Mo 2.67, 4 Zn 2.72-2.74
Mo 0.9097 0.2443 0.5000  4 Mo 2.65-2.69, 4 Zn 2.71-2.72
Mo 0.9097 0.7557 0.5000  4 Mo 2.65-2.69, 4 Zn 2.71-2.72

Computed properties:
The symmetry is Pmm2, No. 25. The total magnetization is 0.00 μB/cell.

---

Entry ii
Here is an optimized crystal structure of ZnMo from OQMD via LeMat-Bulk. Energies are from PBE.

abc: 4.7632 7.5755 4.4536
angles: 90.00 90.00 71.66
Closest atoms and distances in Å follow each position.
Positions (direct):
Zn 0.9901 0.0022 0.0000  6 Zn 2.69-2.77, 6 Mo 2.81-2.91
Zn 0.6723 0.0034 0.5000  7 Zn 2.69-2.90, 5 Mo 2.83-2.96
Zn 0.0760 0.1965 0.5000  7 Zn 2.69-2.90, 5 Mo 2.83-2.96
Zn 0.3924 0.1979 0.0000  6 Zn 2.69-2.77, 6 Mo 2.81-2.91
Zn 0.8670 0.6000 0.5000  10 Mo 2.71-2.77, 2 Zn 2.90
Mo 0.7866 0.4074 0.0000  5 Mo 2.67-2.84, 7 Zn 2.75-2.91
Mo 0.5939 0.7927 0.0000  5 Mo 2.67-2.84, 7 Zn 2.75-2.91
Mo 0.4640 0.4155 0.5000  5 Mo 2.65-2.70, 7 Zn 2.71-2.96
Mo 0.2116 0.6000 0.0000  8 Mo 2.67-2.84, 4 Zn 2.77-2.89
Mo 0.2793 0.7845 0.5000  5 Mo 2.65-2.70, 7 Zn 2.71-2.96

Computed properties:
The symmetry is Amm2, No. 38. The total magnetization is 0.03 μB/cell.

---

Which is the most stable structure? entry i is the most stable.

---

Entry i
Here is an optimized crystal structure of TlFeNiW from OQMD via LeMat-Bulk. Energies are from PBE.

abc: 4.3721 4.3721 4.3721
angles: 60.00 60.00 60.00
Closest atoms and distances in Å follow each position.
Positions (direct):
W 0.5000 0.5000 0.5000  4 Fe 2.68, 4 Ni 2.68
Tl 0.0000 0.0000 0.0000  4 Ni 2.68, 4 Fe 2.68
Ni 0.2500 0.2500 0.2500  4 Tl 2.68, 4 W 2.68
Fe 0.7500 0.7500 0.7500  4 W 2.68, 4 Tl 2.68

Computed properties:
The symmetry is F-43m, No. 216. The total magnetization is 1.45 μB/cell.

---

Entry ii
Here is an optimized crystal structure of TlFeNiW from OQMD via LeMat-Bulk. Energies are from PBE.

abc: 4.4240 4.4240 4.4240
angles: 60.00 60.00 60.00
Closest atoms and distances in Å follow each position.
Positions (direct):
W 0.2500 0.2500 0.2500  4 Ni 2.71, 4 Tl 2.71
Fe 0.7500 0.7500 0.7500  4 Ni 2.71, 4 Tl 2.71
Tl 0.0000 0.0000 0.0000  4 Fe 2.71, 4 W 2.71
Ni 0.5000 0.5000 0.5000  4 Fe 2.71, 4 W 2.71

Computed properties:
The symmetry is F-43m, No. 216. The total magnetization is 1.65 μB/cell.

---

Which is the most stable structure? entry i is the most stable.